Density functional theory data (GGA-PBE) for a geometry-optimized P2SeO2 structure.

Lattice parameters (Å, degrees): 3.675 3.675 5.413 90.00 90.00 90.00
Fractional coordinates of all 5 atoms:
P1 0.000 0.000 0.000
P2 0.500 0.500 0.000
Se1 0.000 0.000 0.500
O1 0.000 0.500 0.500
O2 0.500 0.000 0.500

Values from the calculation:
Formation energy from raw total energies   340 meV per atom
DOS at the Fermi energy   2.7 states/eV/f.u.
ΔE to the lowest computed polymorph   741 meV/atom

=====

Density functional theory data (GGA-PBE) for a geometry-optimized P4SeO7 structure.

Lattice parameters (Å, degrees): 7.308 7.399 9.000 94.28 104.11 95.98
Fractional coordinates of all 24 atoms:
P1 0.103 0.276 0.264
P2 0.208 0.017 0.863
P3 0.240 0.759 0.619
P4 0.268 0.645 0.929
P5 0.732 0.355 0.071
P6 0.760 0.241 0.381
P7 0.792 0.983 0.137
P8 0.897 0.724 0.736
Se1 0.343 0.732 0.429
Se2 0.657 0.268 0.571
O1 0.012 0.712 0.595
O2 0.014 0.057 0.188
O3 0.033 0.614 0.864
O4 0.256 0.208 0.925
O5 0.278 0.968 0.708
O6 0.299 0.874 0.976
O7 0.327 0.642 0.759
O8 0.673 0.358 0.241
O9 0.701 0.126 0.024
O10 0.722 0.032 0.292
O11 0.744 0.792 0.075
O12 0.967 0.386 0.136
O13 0.986 0.943 0.812
O14 0.988 0.288 0.405

Values from the calculation:
Formation energy from raw total energies   -1555 meV per atom
DOS at the Fermi energy   0.0 states/eV/f.u.

=====

Density functional theory data (GGA-PBE) for a geometry-optimized PSeO3 structure.

Lattice parameters (Å, degrees): 3.655 3.655 3.655 90.00 90.00 90.00
Fractional coordinates of all 5 atoms:
P1 0.000 0.000 0.000
Se1 0.500 0.500 0.500
O1 0.000 0.000 0.500
O2 0.000 0.500 0.000
O3 0.500 0.000 0.000

Values from the calculation:
Formation energy from raw total energies   -162 meV per atom
DOS at the Fermi energy   2.2 states/eV/f.u.

=====

Density functional theory data (GGA-PBE) for a geometry-optimized PSe2O structure.

Lattice parameters (Å, degrees): 7.287 7.287 7.287 28.48 28.48 28.48
Fractional coordinates of all 4 atoms:
P1 0.000 0.000 0.000
Se1 0.408 0.408 0.408
Se2 0.592 0.592 0.592
O1 0.500 0.500 0.500

Values from the calculation:
Formation energy from raw total energies   201 meV per atom
DOS at the Fermi energy   2.3 states/eV/f.u.
ΔE to the lowest computed polymorph   665 meV/atom